An optimized crystal structure of Cs3Na5I12, computed with PBE.

The calculation puts the energy at -45.9 eV per formula unit. As for the density of states at the Fermi level: 59.371 states/eV/cell. Its total moment is 16.7 μB/cell. The calculation puts the uncorrected formation energy at -0.9077 eV per atom.

Lattice parameters (Å, degrees): 17.487 17.487 17.487 109.47 109.47 109.47
Positions (direct):
I1 0.067 0.880 0.087
I2 0.687 0.479 0.567
I3 0.567 0.979 0.687
I4 0.793 0.313 0.880
I5 0.813 0.880 0.293
I6 0.067 0.187 0.479
I7 0.120 0.187 0.207
I8 0.933 0.120 0.913
I9 0.433 0.021 0.313
I10 0.567 0.587 0.380
I11 0.187 0.067 0.979
I12 0.413 0.979 0.793
I13 0.479 0.687 0.067
I14 0.021 0.433 0.813
I15 0.620 0.707 0.687
I16 0.587 0.021 0.207
I17 0.413 0.433 0.120
I18 0.620 0.913 0.433
I19 0.521 0.313 0.933
I20 0.880 0.067 0.587
I21 0.793 0.479 0.413
I22 0.313 0.521 0.433
I23 0.433 0.413 0.620
I24 0.293 0.380 0.813
I25 0.380 0.293 0.313
I26 0.521 0.207 0.087
I27 0.087 0.380 0.067
I28 0.207 0.521 0.587
I29 0.207 0.687 0.120
I30 0.380 0.087 0.567
I31 0.813 0.933 0.021
I32 0.913 0.620 0.933
I33 0.187 0.120 0.707
I34 0.587 0.567 0.880
I35 0.479 0.793 0.913
I36 0.687 0.207 0.620
I37 0.880 0.813 0.793
I38 0.120 0.933 0.413
I39 0.021 0.587 0.707
I40 0.933 0.813 0.521
I41 0.313 0.793 0.380
I42 0.293 0.913 0.979
I43 0.913 0.293 0.479
I44 0.707 0.087 0.021
I45 0.707 0.620 0.187
I46 0.979 0.413 0.293
I47 0.979 0.567 0.187
I48 0.087 0.707 0.521
Na1 0.000 0.500 0.500
Na2 0.500 0.500 0.000
Na3 0.625 0.875 0.250
Na4 0.500 0.500 0.500
Na5 0.625 0.750 0.875
Na6 0.875 0.625 0.750
Na7 0.000 0.500 0.000
Na8 0.750 0.625 0.375
Na9 0.375 0.125 0.750
Na10 0.250 0.875 0.125
Na11 0.500 0.000 0.500
Na12 0.750 0.125 0.875
Na13 0.000 0.000 0.500
Na14 0.875 0.250 0.625
Na15 0.375 0.250 0.125
Na16 0.000 0.000 0.000
Na17 0.125 0.750 0.375
Na18 0.250 0.375 0.625
Na19 0.500 0.000 0.000
Na20 0.125 0.375 0.250
Cs1 0.125 0.250 0.875
Cs2 0.125 0.875 0.750
Cs3 0.625 0.375 0.750
Cs4 0.250 0.125 0.375
Cs5 0.375 0.625 0.250
Cs6 0.750 0.375 0.125
Cs7 0.375 0.750 0.625
Cs8 0.750 0.875 0.625
Cs9 0.250 0.625 0.875
Cs10 0.875 0.125 0.250
Cs11 0.625 0.250 0.375
Cs12 0.875 0.750 0.125


An optimized crystal structure of Cs4NaI5, computed with PBE.

The calculation puts the energy at -27.1 eV per formula unit. As for the density of states at the Fermi level: 0.000 states/eV/cell. Its total moment is 0.0 μB/cell. The calculation puts the uncorrected formation energy at -1.4647 eV per atom.

Lattice parameters (Å, degrees): 7.807 9.305 9.305 79.86 65.19 65.19
Positions (direct):
I1 0.910 0.361 0.820
I2 0.730 0.180 0.361
I3 0.091 0.639 0.180
I4 0.271 0.820 0.639
I5 0.452 0.000 0.000
Cs1 0.202 0.207 0.392
Cs2 0.802 0.793 0.608
Cs3 0.410 0.392 0.793
Cs4 0.594 0.608 0.207
Na1 0.049 0.000 0.000